# Tl3In2Au5 (PBE-GGA, optimized geometry)
# Crystal system: monoclinic
# Density of states at the Fermi level in states/eV/cell: 5.60
# Formation energy in eV/atom: -0.048
data_Tl3In2Au5
_chemical_formula_sum 'Tl6 In4 Au10'
_cell_length_a 11.888
_cell_length_b 11.888
_cell_length_c 6.247
_cell_angle_alpha 104.66
_cell_angle_beta 104.66
_cell_angle_gamma 135.01
_space_group_name_H-M_alt 'P 1'
_space_group_IT_number 1
loop_
_space_group_symop_operation_xyz
'x,y,z'
loop_
_atom_site_label
_atom_site_fract_x
_atom_site_fract_y
_atom_site_fract_z
_atom_site_occupancy
Tl1 0.005 0.995 0.750 1
Tl2 0.131 0.579 0.364 1
Tl3 0.421 0.869 0.136 1
Tl4 0.579 0.131 0.864 1
Tl5 0.869 0.421 0.636 1
Tl6 0.995 0.005 0.250 1
In1 0.210 0.434 0.821 1
In2 0.434 0.210 0.321 1
In3 0.566 0.790 0.679 1
In4 0.790 0.566 0.179 1
Au1 0.150 0.850 0.750 1
Au2 0.166 0.834 0.250 1
Au3 0.187 0.357 0.226 1
Au4 0.357 0.187 0.726 1
Au5 0.487 0.513 0.750 1
Au6 0.513 0.487 0.250 1
Au7 0.643 0.813 0.274 1
Au8 0.813 0.643 0.774 1
Au9 0.834 0.166 0.750 1
Au10 0.850 0.150 0.250 1